# 1
VASP calculation (PBE) on crystalline NbSiPt3 at its relaxed geometry.

## Properties
Its energy above the most stable polymorph in this dataset is 849.5 meV per atom. For the formation energy from raw total energies, the calculation gives 1.094 eV per atom.

```
data_NbSiPt3
_symmetry_space_group_name_H-M 'P m -3 m'
_symmetry_Int_Tables_number 221
_symmetry_space_group_name_Hall '-P 4 2 3'
_cell_length_a 4.882
_cell_length_b 4.882
_cell_length_c 4.882
_cell_angle_alpha 90.00
_cell_angle_beta 90.00
_cell_angle_gamma 90.00
loop_
_atom_site_label
_atom_site_type_symbol
_atom_site_fract_x
_atom_site_fract_y
_atom_site_fract_z
Nb1 Nb 0.000 0.000 0.000
Si1 Si 0.500 0.500 0.500
Pt1 Pt 0.000 0.000 0.500
```

=====

# 2
VASP calculation (PBE) on crystalline NbSi3Pt at its relaxed geometry.

## Properties
For the formation energy from raw total energies, the calculation gives 0.933 eV per atom.

```
data_NbSi3Pt
_symmetry_space_group_name_H-M 'P m -3 m'
_symmetry_Int_Tables_number 221
_symmetry_space_group_name_Hall '-P 4 2 3'
_cell_length_a 4.647
_cell_length_b 4.647
_cell_length_c 4.647
_cell_angle_alpha 90.00
_cell_angle_beta 90.00
_cell_angle_gamma 90.00
loop_
_atom_site_label
_atom_site_type_symbol
_atom_site_fract_x
_atom_site_fract_y
_atom_site_fract_z
Nb1 Nb 0.000 0.000 0.000
Si1 Si 0.000 0.500 0.500
Pt1 Pt 0.500 0.500 0.500
```

=====

Looking at M_tot for the records above, in order, we have 0.00; 0.00 μB/cell.
Looking at raw total energy for the records above, in order, we have -28.15; -27.71 eV for the cell shown.